Record 1
This record from the Alexandria database describes crystalline V3Pt6Rh at its relaxed geometry. The functional is GGA-PBE.

```
V3Pt6Rh
1.0
9.440 0.000 0.000
0.000 11.999 0.000
0.000 0.000 2.748
V Pt Rh
6 12 2
Direct
0.000 0.000 0.000
0.107 0.323 0.500
0.393 0.823 0.000
0.500 0.500 0.500
0.607 0.177 0.000
0.893 0.677 0.500
0.082 0.787 0.000
0.212 0.156 0.000
0.228 0.957 0.500
0.272 0.457 0.000
0.288 0.656 0.500
0.418 0.287 0.500
0.582 0.713 0.500
0.712 0.344 0.500
0.728 0.543 0.000
0.772 0.043 0.500
0.788 0.844 0.000
0.918 0.213 0.000
0.000 0.500 0.000
0.500 0.000 0.500
```

Calculated values
**E_form**: -215 meV/atom


Record 2
This record from the Alexandria database describes crystalline Ti3SbH3 at its relaxed geometry. The functional is GGA-PBE.

```
Ti3SbH3
1.0
5.356 0.000 0.000
0.000 5.356 0.000
0.000 0.000 5.356
Ti Sb H
6 2 6
Direct
0.000 0.250 0.500
0.000 0.750 0.500
0.250 0.500 0.000
0.500 0.000 0.250
0.500 0.000 0.750
0.750 0.500 0.000
0.000 0.000 0.000
0.500 0.500 0.500
0.000 0.500 0.250
0.000 0.500 0.750
0.250 0.000 0.500
0.500 0.250 0.000
0.500 0.750 0.000
0.750 0.000 0.500
```

Calculated values
**Polymorph energy (0 for the lowest one)**: 0 meV per atom


Record 3
This record from the Alexandria database describes crystalline Ac2RePdO8 at its relaxed geometry. The functional is GGA-PBE.

```
Ac2RePdO8
1.0
4.544 0.000 0.000
0.561 5.340 0.000
0.410 0.757 7.280
Ac Re Pd O
2 1 1 8
Direct
0.184 0.016 0.249
0.816 0.984 0.751
0.500 0.500 0.500
0.500 0.500 0.000
0.188 0.733 0.559
0.288 0.835 0.943
0.309 0.228 0.615
0.316 0.482 0.262
0.684 0.518 0.738
0.691 0.772 0.385
0.712 0.165 0.057
0.812 0.267 0.441
```

Calculated values
**VASP energy**: -7.542 eV per atom


Record 4
This record from the Alexandria database describes crystalline ScGaNiRh at its relaxed geometry. The functional is GGA-PBE.

```
ScGaNiRh
1.0
6.174 0.000 0.000
0.000 6.174 0.000
0.000 0.000 6.174
Sc Ga Ni Rh
4 4 4 4
Direct
0.000 0.000 0.000
0.000 0.500 0.500
0.500 0.000 0.500
0.500 0.500 0.000
0.000 0.000 0.500
0.000 0.500 0.000
0.500 0.000 0.000
0.500 0.500 0.500
0.250 0.250 0.750
0.250 0.750 0.250
0.750 0.250 0.250
0.750 0.750 0.750
0.250 0.250 0.250
0.250 0.750 0.750
0.750 0.250 0.750
0.750 0.750 0.250
```

Calculated values
**E_form**: -720 meV/atom


Record 5
This record from the Alexandria database describes crystalline K3CrCl8 at its relaxed geometry. The functional is GGA-PBE.

```
K3CrCl8
1.0
-3.537 3.537 6.914
3.537 -3.537 6.914
3.537 3.537 -6.914
K Cr Cl
3 1 8
Direct
0.000 0.000 0.000
0.250 0.750 0.500
0.750 0.250 0.500
0.500 0.500 0.000
0.182 0.182 0.580
0.182 0.603 0.000
0.397 0.397 0.580
0.397 0.818 0.000
0.603 0.182 0.000
0.603 0.603 0.420
0.818 0.397 0.000
0.818 0.818 0.420
```

Calculated values
**VASP energy**: -3.375 eV per atom


Record 6
This record from the Alexandria database describes crystalline TiMnPb at its relaxed geometry. The functional is GGA-PBE.

```
TiMnPb
1.0
4.183 0.000 0.000
0.000 4.183 0.000
0.000 0.000 6.325
Ti Mn Pb
2 2 2
Direct
0.250 0.250 0.228
0.750 0.750 0.772
0.250 0.750 0.000
0.750 0.250 0.000
0.250 0.250 0.710
0.750 0.750 0.290
```

Calculated values
**E_form**: 92 meV/atom


Record 7
This record from the Alexandria database describes crystalline FeReSb2I at its relaxed geometry. The functional is GGA-PBE.

```
FeReSb2I
1.0
4.947 0.000 0.000
0.000 4.947 0.000
0.000 0.000 5.159
Fe Re Sb I
1 1 2 1
Direct
0.000 0.000 0.000
0.500 0.500 0.500
0.000 0.500 0.000
0.500 0.000 0.000
0.000 0.000 0.500
```

Calculated values
**Polymorph energy (0 for the lowest one)**: 218 meV per atom


Record 8
This record from the Alexandria database describes crystalline Tb6Pm7Er16 at its relaxed geometry. The functional is GGA-PBE.

```
Tb6Pm7Er16
1.0
0.000 7.786 7.786
7.786 0.000 7.786
7.786 7.786 0.000
Tb Pm Er
6 7 16
Direct
0.224 0.224 0.776
0.224 0.776 0.224
0.224 0.776 0.776
0.776 0.224 0.224
0.776 0.224 0.776
0.776 0.776 0.224
0.000 0.000 0.000
0.000 0.000 0.500
0.000 0.500 0.000
0.000 0.500 0.500
0.500 0.000 0.000
0.500 0.000 0.500
0.500 0.500 0.000
0.149 0.149 0.149
0.149 0.149 0.552
0.149 0.552 0.149
0.160 0.613 0.613
0.387 0.387 0.387
0.387 0.387 0.840
0.387 0.840 0.387
0.448 0.851 0.851
0.552 0.149 0.149
0.613 0.160 0.613
0.613 0.613 0.160
0.613 0.613 0.613
0.840 0.387 0.387
0.851 0.448 0.851
0.851 0.851 0.448
0.851 0.851 0.851
```

Calculated values
**E_form**: 188 meV/atom